Record 1
Compound: K2Zn3P4O14
Source: the Alexandria database
Functional: PBE
Structure: optimized geometry

a = 10.148 Å, b = 10.263 Å, c = 13.108 Å
α = 90.00°, β = 90.00°, γ = 90.00°
Space group P2_12_12_1 (No. 19)
Symmetry-distinct sites (fractional):
K  0.097  0.018  0.004 [4 per cell]
K  0.228  0.655  0.722 [4 per cell]
Zn  0.021  0.686  0.134 [4 per cell]
Zn  0.149  0.015  0.701 [4 per cell]
Zn  0.201  0.402  0.922 [4 per cell]
P  0.060  0.914  0.297 [4 per cell]
P  0.072  0.328  0.698 [4 per cell]
P  0.095  0.810  0.504 [4 per cell]
P  0.222  0.299  0.499 [4 per cell]
O  0.002  0.287  0.241 [4 per cell]
O  0.052  0.507  0.172 [4 per cell]
O  0.053  0.179  0.703 [4 per cell]
O  0.055  0.310  0.990 [4 per cell]
O  0.062  0.898  0.801 [4 per cell]
O  0.128  0.368  0.585 [4 per cell]
O  0.143  0.195  0.445 [4 per cell]
O  0.145  0.669  0.498 [4 per cell]
O  0.145  0.880  0.399 [4 per cell]
O  0.160  0.976  0.225 [4 per cell]
O  0.163  0.765  0.055 [4 per cell]
O  0.166  0.887  0.588 [4 per cell]
O  0.172  0.383  0.774 [4 per cell]
O  0.240  0.588  0.928 [4 per cell]

## Properties
* formation energy from raw total energies: -48.46 eV/f.u.
* magnetization: 0.00 μB per cell



Record 2
Compound: KZn4P3O12
Source: the Alexandria database
Functional: PBE
Structure: optimized geometry

a = 8.274 Å, b = 14.126 Å, c = 9.789 Å
α = 90.00°, β = 90.00°, γ = 90.00°
Space group Pccn (No. 56)
Symmetry-distinct sites (fractional):
K  0.250  0.250  0.197 [4 per cell]
Zn  0.088  0.645  0.496 [8 per cell]
Zn  0.106  0.552  0.192 [8 per cell]
P  0.247  0.064  0.435 [8 per cell]
P  0.250  0.750  0.254 [4 per cell]
O  0.098  0.737  0.342 [8 per cell]
O  0.118  0.088  0.327 [8 per cell]
O  0.131  0.147  0.936 [8 per cell]
O  0.160  0.530  0.390 [8 per cell]
O  0.175  0.051  0.578 [8 per cell]
O  0.236  0.661  0.656 [8 per cell]

## Properties
* formation energy from raw total energies: -40.32 eV/f.u.
* magnetization: 0.00 μB per cell



Record 3
Compound: KZrP2O
Source: the Alexandria database
Functional: PBE
Structure: optimized geometry

a = 5.344 Å, b = 5.344 Å, c = 4.127 Å
α = 90.00°, β = 90.00°, γ = 90.00°
Space group P4/mmm (No. 123)
Symmetry-distinct sites (fractional):
K  0.000  0.000  0.000 [1 per cell]
Zr  0.500  0.500  0.500 [1 per cell]
P  0.000  0.500  0.500 [2 per cell]
O  0.500  0.500  0.000 [1 per cell]

## Properties
* energy above the most stable polymorph in this dataset: 0.000 eV/atom
* formation energy from raw total energies: -3.63 eV/f.u.
* magnetization: 2.51 μB per cell



Record 4
Compound: KZr2P3O12
Source: the Alexandria database
Functional: PBE
Structure: optimized geometry

a = 8.8724 Å, b = 8.8724 Å, c = 24.2219 Å
α = 90.00°, β = 90.00°, γ = 120.00°
Space group R-3c (No. 167, hexagonal axes)
Symmetry-distinct sites (fractional):
K  0.0000  0.0000  0.0000 [6 per cell]
Zr  0.0000  0.0000  0.1493 [12 per cell]
P  0.0000  0.2870  0.2500 [18 per cell]
O  0.0256  0.1991  0.9046 [36 per cell]
O  0.0407  0.2097  0.1989 [36 per cell]

## Properties
* formation energy from raw total energies: -49.07 eV/f.u.
* magnetization: 0.00 μB per cell



Record 5
Compound: KZrP2O
Source: the Alexandria database
Functional: PBE
Structure: optimized geometry

a = 4.923 Å, b = 4.923 Å, c = 4.173 Å
α = 90.00°, β = 90.00°, γ = 90.00°
Space group P4/mmm (No. 123)
Symmetry-distinct sites (fractional):
K  0.000  0.000  0.000 [1 per cell]
Zr  0.500  0.500  0.500 [1 per cell]
P  0.000  0.500  0.000 [2 per cell]
O  0.000  0.000  0.500 [1 per cell]

## Properties
* energy above the most stable polymorph in this dataset: 1.827 eV/atom
* formation energy from raw total energies: 5.51 eV/f.u.
* magnetization: 0.33 μB per cell



Record 6
Compound: KZrP2O8
Source: the Alexandria database
Functional: PBE
Structure: optimized geometry

a = 5.4127 Å, b = 5.4127 Å, c = 7.7514 Å
α = 90.00°, β = 90.00°, γ = 120.00°
Space group P-3 (No. 147)
Symmetry-distinct sites (fractional):
K  0.0000  0.0000  0.0000 [1 per cell]
Zr  0.0000  0.0000  0.5000 [1 per cell]
P  0.3333  0.6667  0.7311 [2 per cell]
O  0.1753  0.3569  0.6614 [6 per cell]
O  0.3333  0.6667  0.9283 [2 per cell]

## Properties
* formation energy from raw total energies: -29.01 eV/f.u.
* magnetization: 1.07 μB per cell



Q: The highest magnetization belongs to which entry?
A: number 3



Q: The highest magnetization belongs to which entry?
A: number 3